Below is a relaxed structure of Tm3Ni2Hg, with properties calculated at the PBE level.

The uncorrected energy is -4.643 eV/atom.

a b c (Å): 4.059 9.057 7.098
angles (deg): 90.00 90.00 90.00
Atoms (fractional coordinates):
Tm1 0.000 0.062 0.000
Tm2 0.000 0.938 0.500
Tm3 0.500 0.242 0.378
Tm4 0.500 0.350 0.846
Tm5 0.500 0.650 0.346
Tm6 0.500 0.758 0.878
Ni1 0.000 0.218 0.646
Ni2 0.000 0.782 0.146
Ni3 0.500 0.057 0.721
Ni4 0.500 0.943 0.221
Hg1 0.000 0.454 0.138
Hg2 0.000 0.546 0.638